1.
TaRh2Cl | GGA-PBE | optimized geometry

Properties
* E above lowest polymorph: 0.459 eV per atom
* ρ: 11.11 Mg/m³
* E_form (uncorrected): 0.11 eV/atom
* uncorrected energy: -6.9859 eV/atom
* space group: Pm

The structure in POSCAR format:
```
TaRh2Cl
1.0
-1.287 -3.313 1.950
-1.331 -0.919 -2.439
3.759 -3.031 -2.670
Cl Rh Ta
1 2 1
direct
0.500 0.942 0.737 Cl
0.500 0.175 0.276 Rh
0.000 0.815 0.998 Rh
0.000 0.568 0.488 Ta
```

***

2.
Ac2Al3SiPd4 | GGA-PBE | optimized geometry

Properties
* ρ: 8.00 Mg/m³
* E_form (uncorrected): -0.83 eV/atom
* uncorrected energy: -5.3917 eV/atom
* space group: P-4m2

The structure in POSCAR format:
```
Ac2Al3SiPd4
1.0
-2.130 -3.542 -1.602
0.906 -2.228 3.723
-8.901 3.443 4.226
Ac Pd Al Si
2 4 3 1
direct
0.000 0.500 0.744 Ac
0.500 0.000 0.256 Ac
0.000 0.500 0.376 Pd
0.000 0.000 0.000 Pd
0.500 0.500 0.000 Pd
0.500 0.000 0.624 Pd
0.500 0.000 0.878 Al
0.000 0.000 0.500 Al
0.000 0.500 0.122 Al
0.500 0.500 0.500 Si
```

***

3.
Dy4IrAu | GGA-PBE | optimized geometry

Properties
* E above lowest polymorph: 0.051 eV per atom
* ρ: 10.43 Mg/m³
* uncorrected energy: -5.6720 eV/atom
* space group: C2/m
* energy of formation: -581 meV per atom

The structure in POSCAR format:
```
Dy4IrAu
1.0
-4.208 -2.450 -0.406
0.454 0.027 -4.866
3.458 -5.994 0.281
Dy Ir Au
4 1 1
direct
0.002 0.498 0.737 Dy
0.001 0.497 0.259 Dy
0.501 0.997 0.259 Dy
0.501 0.998 0.737 Dy
0.001 0.997 0.498 Ir
0.501 0.497 0.998 Au
```